No. 1
Compound: CsErPdF6
Source: Alexandria
Functional: PBE
Structure: relaxed

Cell lengths 8.2160, 7.8460, 8.0420 Å; angles 119.20, 120.72, 90.00 degrees
With the nearest neighbours (Å) after each atom.
Positions (direct):
1 Cs 0.8451 0.5951 0.6902  1 F 2.99
2 Cs 0.1549 0.4049 0.3098  1 F 2.99
3 Er 0.5000 0.0000 0.5000  6 F 2.15-2.18
4 Er 0.0000 0.0000 0.5000  6 F 2.15-2.18
5 Pd 0.5000 0.5000 0.0000  6 F 2.17-2.22
6 Pd 0.5000 0.0000 0.0000  6 F 2.17-2.22
7 F 0.4175 0.6675 0.8350  2 Pd 2.17
8 F 0.8135 0.0635 0.6270  2 Er 2.18
9 F 0.8269 0.0791 0.2553  1 Er 2.15, 1 Pd 2.22
10 F 0.4284 0.6762 0.2553  1 Er 2.15, 1 Pd 2.22
11 F 0.4284 0.0791 0.2553  1 Er 2.15, 1 Pd 2.22
12 F 0.8269 0.6762 0.2553  1 Er 2.15, 1 Pd 2.22
13 F 0.5825 0.3325 0.1650  2 Pd 2.17
14 F 0.1865 0.9365 0.3730  2 Er 2.18
15 F 0.1731 0.9209 0.7447  1 Er 2.15, 1 Pd 2.22
16 F 0.5716 0.3238 0.7447  1 Er 2.15, 1 Pd 2.22
17 F 0.5716 0.9209 0.7447  1 Er 2.15, 1 Pd 2.22
18 F 0.1731 0.3238 0.7447  1 Er 2.15, 1 Pd 2.22

Results
Energy relative to the elements, uncorrected: -273.0 kJ per mole of atoms
Space group: Imma, No. 74

***

No. 2
Compound: CsErSnF6
Source: Alexandria
Functional: PBE
Structure: relaxed

Cell lengths 6.3244, 6.3251, 5.8992 Å; angles 90.05, 89.97, 59.83 degrees
With the nearest neighbours (Å) after each atom.
Positions (direct):
1 Cs 0.0001 0.0002 0.9707  6 F 2.98-3.12
2 Er 0.3335 0.3336 0.5093  6 F 2.14-2.22
3 Sn 0.6664 0.6668 0.4699  6 F 2.31-2.55
4 F 0.0602 0.3117 0.3142  1 Er 2.14
5 F 0.4263 0.9970 0.7028  1 Er 2.22, 1 Sn 2.32
6 F 0.5757 0.4276 0.7029  1 Er 2.22, 1 Sn 2.32
7 F 0.9955 0.5780 0.7020  1 Er 2.22, 1 Sn 2.31
8 F 0.3122 0.6271 0.3127  1 Er 2.14
9 F 0.6299 0.0580 0.3153  1 Er 2.14

Results
Energy relative to the elements, uncorrected: -309.4 kJ per mole of atoms
Space group: P1, No. 1

***

No. 3
Compound: Cs2SrErF6
Source: Alexandria
Functional: PBE
Structure: relaxed

Cell lengths 6.7226, 6.7296, 9.4439 Å; angles 90.00, 90.00, 90.00 degrees
With the nearest neighbours (Å) after each atom.
Positions (direct):
1 Cs 0.5000 0.7849 0.2423  9 F 3.04-3.37
2 Cs 0.0000 0.2151 0.7423  9 F 3.04-3.37
3 Cs 0.5000 0.7849 0.7577  9 F 3.04-3.37
4 Cs 0.0000 0.2151 0.2577  9 F 3.04-3.37
5 Sr 0.0000 0.7258 0.5000  6 F 2.49-2.63
6 Sr 0.5000 0.2742 0.0000  6 F 2.49-2.63
7 Er 0.5000 0.2631 0.5000  6 F 2.21-2.30
8 Er 0.0000 0.7369 0.0000  6 F 2.21-2.30
9 F 0.5000 0.2464 0.2653  1 Er 2.22
10 F 0.5000 0.2464 0.7347  1 Er 2.22
11 F 0.0000 0.7536 0.2347  1 Er 2.22
12 F 0.0000 0.7536 0.7653  1 Er 2.22
13 F 0.2722 0.0072 0.5000  1 Er 2.30
14 F 0.7278 0.0072 0.5000  1 Er 2.30
15 F 0.2135 0.4236 0.5000  1 Er 2.21
16 F 0.7865 0.4236 0.5000  1 Er 2.21
17 F 0.7135 0.5764 0.0000  1 Er 2.21
18 F 0.2865 0.5764 0.0000  1 Er 2.21
19 F 0.2278 0.9928 0.0000  1 Er 2.30
20 F 0.7722 0.9928 0.0000  1 Er 2.30

Results
Energy relative to the elements, uncorrected: -316.1 kJ per mole of atoms
Space group: Pmmn, No. 59

***

No. 4
Compound: Cs2Er3TlF12
Source: Alexandria
Functional: PBE
Structure: relaxed

Cell lengths 8.2387, 8.2387, 8.2387 Å; angles 61.19, 61.19, 61.19 degrees
With the nearest neighbours (Å) after each atom.
Positions (direct):
1 Cs 0.6320 0.6320 0.6320  3 F 2.93
2 Cs 0.3680 0.3680 0.3680  3 F 2.93
3 Er 0.5000 0.0000 0.0000  6 F 2.13-2.18
4 Er 0.0000 0.5000 0.0000  6 F 2.13-2.18
5 Er 0.0000 0.0000 0.5000  6 F 2.13-2.18
6 Tl 0.0000 0.0000 0.0000  6 F 2.89
7 F 0.2813 0.2813 0.9109  2 Er 2.18
8 F 0.8807 0.8807 0.4211  1 Er 2.13
9 F 0.4211 0.8807 0.8807  1 Er 2.13
10 F 0.9109 0.2813 0.2813  2 Er 2.18
11 F 0.8807 0.4211 0.8807  1 Er 2.13
12 F 0.2813 0.9109 0.2813  2 Er 2.18
13 F 0.7187 0.7187 0.0891  2 Er 2.18
14 F 0.1193 0.1193 0.5789  1 Er 2.13
15 F 0.5789 0.1193 0.1193  1 Er 2.13
16 F 0.0891 0.7187 0.7187  2 Er 2.18
17 F 0.1193 0.5789 0.1193  1 Er 2.13
18 F 0.7187 0.0891 0.7187  2 Er 2.18

Results
Energy relative to the elements, uncorrected: -346.1 kJ per mole of atoms
Space group: R-3m, No. 166

***

No. 5
Compound: CsErZnF6
Source: Alexandria
Functional: PBE
Structure: relaxed

Cell lengths 8.0898, 7.6770, 7.8615 Å; angles 119.23, 120.97, 90.00 degrees
With the nearest neighbours (Å) after each atom.
Positions (direct):
1 Cs 0.8290 0.5790 0.6580  5 F 3.08-3.43
2 Cs 0.1710 0.4210 0.3420  5 F 3.08-3.43
3 Er 0.5000 0.0000 0.5000  6 F 2.15-2.19
4 Er 0.0000 0.0000 0.5000  6 F 2.15-2.19
5 Zn 0.5000 0.5000 0.0000  6 F 2.00-2.10
6 Zn 0.5000 0.0000 0.0000  6 F 2.00-2.10
7 F 0.4486 0.6986 0.8972  2 Zn 2.00
8 F 0.8265 0.0765 0.6529  2 Er 2.19
9 F 0.8139 0.0889 0.2605  1 Zn 2.10, 1 Er 2.15
10 F 0.4466 0.6716 0.2605  1 Zn 2.10, 1 Er 2.15
11 F 0.4466 0.0889 0.2605  1 Zn 2.10, 1 Er 2.15
12 F 0.8139 0.6716 0.2605  1 Zn 2.10, 1 Er 2.15
13 F 0.5514 0.3014 0.1028  2 Zn 2.00
14 F 0.1735 0.9235 0.3471  2 Er 2.19
15 F 0.1861 0.9111 0.7395  1 Zn 2.10, 1 Er 2.15
16 F 0.5534 0.3284 0.7395  1 Zn 2.10, 1 Er 2.15
17 F 0.5534 0.9111 0.7395  1 Zn 2.10, 1 Er 2.15
18 F 0.1861 0.3284 0.7395  1 Zn 2.10, 1 Er 2.15

Results
Energy relative to the elements, uncorrected: -313.8 kJ per mole of atoms
Space group: Imma, No. 74

***

No. 6
Compound: CsErZn2F8
Source: Alexandria
Functional: PBE
Structure: relaxed

Cell lengths 5.4367, 5.4367, 9.5012 Å; angles 73.38, 73.38, 60.00 degrees
With the nearest neighbours (Å) after each atom.
Positions (direct):
1 Cs 0.0000 0.0000 0.0000  6 F 3.17
2 Er 0.5000 0.5000 0.5000  6 F 2.17
3 Zn 0.7523 0.7523 0.7431  4 F 1.86-1.95
4 Zn 0.2477 0.2477 0.2569  4 F 1.86-1.95
5 F 0.6832 0.6832 0.9503  1 Zn 1.86
6 F 0.3168 0.3168 0.0497  1 Zn 1.86
7 F 0.5239 0.2549 0.3475  1 Zn 1.95, 1 Er 2.17
8 F 0.7451 0.4761 0.6525  1 Zn 1.95, 1 Er 2.17
9 F 0.1263 0.7451 0.6525  1 Zn 1.95, 1 Er 2.17
10 F 0.2549 0.8737 0.3475  1 Zn 1.95, 1 Er 2.17
11 F 0.8737 0.5239 0.3475  1 Zn 1.95, 1 Er 2.17
12 F 0.4761 0.1263 0.6525  1 Zn 1.95, 1 Er 2.17

Results
Energy relative to the elements, uncorrected: -284.0 kJ per mole of atoms
Space group: R32, No. 155

***

No. 7
Compound: CsErFe2I8
Source: Alexandria
Functional: PBE
Structure: relaxed

Cell lengths 7.4175, 7.4175, 11.1255 Å; angles 83.85, 83.85, 68.53 degrees
With the nearest neighbours (Å) after each atom.
Positions (direct):
1 Cs 0.0000 0.0000 0.5000  6 I 3.99-4.08
2 Er 0.0000 0.0000 0.0000  6 I 3.00-3.04
3 Fe 0.6171 0.6171 0.2065  4 I 2.55-2.68
4 Fe 0.3829 0.3829 0.7935  4 I 2.55-2.68
5 I 0.7688 0.2721 0.8013  1 Fe 2.68
6 I 0.7546 0.7546 0.0041  1 Fe 2.63
7 I 0.6868 0.6868 0.4131  1 Fe 2.55
8 I 0.3132 0.3132 0.5869  1 Fe 2.55
9 I 0.2454 0.2454 0.9959  1 Fe 2.63
10 I 0.2721 0.7688 0.8013  1 Fe 2.68
11 I 0.7279 0.2312 0.1987  1 Fe 2.68
12 I 0.2312 0.7279 0.1987  1 Fe 2.68

Results
Energy relative to the elements, uncorrected: -70.2 kJ per mole of atoms
Space group: C2/m, No. 12